Compound: TlInMo2
Source: Alexandria
Functional: PBEsol
Structure: optimized geometry

a = 5.008 Å, b = 5.008 Å, c = 5.173 Å
α = 99.95°, β = 99.95°, γ = 34.76°
Atoms (fractional coordinates):
Tl 0.000 0.000 0.000
In 0.500 0.500 0.500
Mo 0.249 0.249 0.741
Mo 0.751 0.751 0.259

Space-group type: No. 12
Energy relative to the elements (eV/atom): 0.6347

=====

Compound: GeIr2PbCl
Source: Alexandria
Functional: PBEsol
Structure: optimized geometry

a = 4.509 Å, b = 4.509 Å, c = 5.952 Å
α = 90.00°, β = 90.00°, γ = 90.00°
Atoms (fractional coordinates):
Ge 0.000 0.000 0.000
Ir 0.000 0.500 0.000
Ir 0.500 0.000 0.000
Pb 0.000 0.000 0.500
Cl 0.500 0.500 0.500

Space-group type: No. 123
E (eV/f.u.): -25.8